Run a
Compound: ErAg3Br6
Source: Alexandria
Functional: PBE
Structure: relaxed

Cell lengths 7.297, 7.186, 11.151 Å; angles 90.00, 91.64, 90.00 degrees
Sites, in units of the cell vectors:
Er1 0.000 0.000 0.000
Ag1 0.477 0.978 0.759
Ag2 0.977 0.522 0.259
Br1 0.614 0.394 0.269
Ag3 0.523 0.022 0.241
Br2 0.386 0.606 0.731
Br3 0.344 0.825 0.413
Br4 0.665 0.172 0.943
Er2 0.500 0.500 0.500
Br5 0.156 0.325 0.087
Br6 0.335 0.828 0.057
Br7 0.886 0.894 0.231
Ag4 0.023 0.478 0.741
Br8 0.656 0.175 0.587
Br9 0.165 0.328 0.443
Ag5 0.000 0.000 0.500
Ag6 0.500 0.500 0.000
Br10 0.844 0.675 0.913
Br11 0.114 0.106 0.769
Br12 0.835 0.672 0.557

Properties
Density of states at the Fermi level: 0.00 states/eV per cell
Total magnetic moment: 0.0 μB/f.u.

Run b
Compound: ErAg3Br6
Source: Alexandria
Functional: PBE
Structure: relaxed

Cell lengths 8.097, 8.170, 8.174 Å; angles 59.68, 57.75, 57.72 degrees
Sites, in units of the cell vectors:
Ag1 0.500 0.000 0.500
Br1 0.262 0.734 0.227
Er1 0.000 0.000 0.000
Br2 0.738 0.266 0.773
Br3 0.733 0.778 0.261
Br4 0.267 0.222 0.739
Ag2 0.500 0.500 0.000
Ag3 0.500 0.500 0.500
Br5 0.796 0.245 0.246
Br6 0.204 0.755 0.754

Properties
Density of states at the Fermi level: 0.00 states/eV per cell
Total magnetic moment: 0.0 μB/f.u.

Winner for stability: run a